# 1
A geometry-optimized SrGaI2 structure, computed with PBE-GGA.

Lattice parameters (Å, degrees): 4.7255 4.7255 30.1872 90.00 90.00 120.00
Closest atoms and distances in Å follow each position.
Space group R-3m (No. 166, hexagonal axes)
Unique sites:
Sr 0.0000 0.0000 0.0000 x3  2 I 3.16
Ga 0.0000 0.0000 0.5000 x3  6 I 3.31
I 0.0000 0.0000 0.1047 x6  1 Sr 3.16, 3 Ga 3.31

Values from the calculation:
uncorrected formation energy = -0.60 eV per atom

=====

# 2
A geometry-optimized Sr2GaI2 structure, computed with PBE-GGA.

Lattice parameters (Å, degrees): 6.4067 6.4067 10.0325 90.00 90.00 90.00
Closest atoms and distances in Å follow each position.
Space group I4/mmm (No. 139)
Unique sites:
Sr 0.0000 0.5000 0.2500 x4  4 I 3.28
Ga 0.0000 0.0000 0.0000 x2  2 I 3.23
I 0.0000 0.0000 0.3220 x4  1 Ga 3.23, 4 Sr 3.28, 1 I 3.57

Values from the calculation:
uncorrected formation energy = -0.67 eV per atom

=====

# 3
A geometry-optimized Sr2GaI structure, computed with PBE-GGA.

Lattice parameters (Å, degrees): 3.9459 3.9459 8.8419 90.00 90.00 90.00
Closest atoms and distances in Å follow each position.
Space group P4/mmm (No. 123)
Unique sites:
Sr 0.0000 0.0000 0.2165 x2  4 Ga 3.38, 4 I 3.75
Ga 0.5000 0.5000 0.0000 x1  8 Sr 3.38
I 0.5000 0.5000 0.5000 x1  8 Sr 3.75, 4 I 3.95

Values from the calculation:
uncorrected formation energy = -0.76 eV per atom

=====

# 4
A geometry-optimized SrGaI5 structure, computed with PBE-GGA.

Lattice parameters (Å, degrees): 12.0630 11.7309 11.6794 90.00 118.10 90.00
Closest atoms and distances in Å follow each position.
Space group C2/c (No. 15)
Unique sites:
Sr 0.0000 0.0000 0.0000 x4  6 I 3.19-3.40
Ga 0.0000 0.3954 0.2500 x4  4 I 2.59-2.61
I 0.0000 0.1091 0.7500 x4  2 Sr 3.19
I 0.0043 0.2841 0.4436 x8  1 Ga 2.59
I 0.1867 0.4601 0.8392 x8  1 Ga 2.61

Values from the calculation:
uncorrected formation energy = -0.96 eV per atom